## LiNdNpO5 (PBE-GGA)

Data for crystalline LiNdNpO5 at its relaxed geometry.

a b c (Å): 5.9450 5.9450 8.1301
angles (deg): 107.62 107.62 104.58
Site moments in Bohr magnetons follow the coordinates.
Element x y z (fractional)
Li1 0.6892 0.3108 0.2500  0.00
Li2 0.3108 0.6892 0.7500  0.00
Nd1 0.3184 0.6816 0.2500  0.00
Nd2 0.6816 0.3184 0.7500  0.00
Np1 0.0000 0.0000 0.5000  1.17
Np2 0.0000 0.0000 0.0000  1.17
O1 0.0668 0.9332 0.2500  -0.04
O2 0.9332 0.0668 0.7500  -0.04
O3 0.8784 0.3074 0.0744  -0.03
O4 0.1216 0.6926 0.9256  -0.03
O5 0.6926 0.1216 0.4256  -0.03
O6 0.3074 0.8784 0.5744  -0.03
O7 0.7334 0.6612 0.3877  -0.04
O8 0.2666 0.3388 0.6123  -0.04
O9 0.3388 0.2666 0.1123  -0.04
O10 0.6612 0.7334 0.8877  -0.04

Values from the calculation:
Energy relative to the elements, uncorrected in eV per atom: -2.87
DOS at the Fermi energy in states/eV/cell: 0.4
Space group: C2/c

---

## LiNdNp2S4 (PBE-GGA)

Data for crystalline LiNdNp2S4 at its relaxed geometry.

a b c (Å): 3.9534 6.8302 6.8415
angles (deg): 109.64 90.00 90.00
Site moments in Bohr magnetons follow the coordinates.
Element x y z (fractional)
Li1 0.5000 0.5000 0.0000  0.00
Nd1 0.0000 0.0000 0.0000  0.06
Np1 0.5000 0.0000 0.5000  4.01
Np2 0.0000 0.5000 0.5000  3.89
S1 0.5000 0.2608 0.2574  -0.06
S2 0.5000 0.7392 0.7426  -0.06
S3 0.0000 0.2562 0.7477  -0.07
S4 0.0000 0.7438 0.2523  -0.07

Values from the calculation:
Energy relative to the elements, uncorrected in eV per atom: -1.53
DOS at the Fermi energy in states/eV/cell: 17.8
Space group: P2/m